one | Below is a relaxed CeTh2Ag crystal, with properties calculated at the PBE level. Values from VASP.

The structure in Quantum ESPRESSO input format:
```
&SYSTEM
  ibrav = 0, nat = 4, ntyp = 3
/
ATOMIC_SPECIES
Ce 140.12 Ce.upf
Th 232.04 Th.upf
Ag 107.87 Ag.upf
ATOMIC_POSITIONS angstrom
Ce 0.000 0.000 0.000
Th 0.000 2.811 1.729
Th 2.811 0.000 1.729
Ag 2.811 2.811 0.000
CELL_PARAMETERS angstrom
5.622 0.000 0.000
0.000 5.622 0.000
0.000 0.000 3.457
```

***

two | Below is a relaxed CeTh2Ag crystal, with properties calculated at the PBE level. Values from VASP.

The structure in Quantum ESPRESSO input format:
```
&SYSTEM
  ibrav = 0, nat = 4, ntyp = 3
/
ATOMIC_SPECIES
Ce 140.12 Ce.upf
Th 232.04 Th.upf
Ag 107.87 Ag.upf
ATOMIC_POSITIONS angstrom
Ce 0.000 0.000 0.000
Th 0.000 0.000 14.834
Th 0.000 0.000 21.044
Ag 0.000 0.000 17.939
CELL_PARAMETERS angstrom
1.692 0.977 11.960
-1.692 0.977 11.960
0.000 -1.954 11.960
```

***

three | Below is a relaxed CeTh2Ag crystal, with properties calculated at the PBE level. Values from VASP.

The structure in Quantum ESPRESSO input format:
```
&SYSTEM
  ibrav = 0, nat = 4, ntyp = 3
/
ATOMIC_SPECIES
Ce 140.12 Ce.upf
Th 232.04 Th.upf
Ag 107.87 Ag.upf
ATOMIC_POSITIONS angstrom
Ce 0.000 0.000 0.000
Th 0.000 0.000 18.872
Th 0.000 0.000 24.650
Ag 0.000 0.000 5.447
CELL_PARAMETERS angstrom
1.746 1.008 10.875
-1.746 1.008 10.875
0.000 -2.016 10.875
```

***

The energy of each structure relative to the most stable one, in meV/atom, is as follows: one 0; two 349; three 96.

***

one | Below is a relaxed Ce2ThAg crystal, with properties calculated at the PBE level. Values from VASP.

The structure in Quantum ESPRESSO input format:
```
&SYSTEM
  ibrav = 0, nat = 4, ntyp = 3
/
ATOMIC_SPECIES
Ce 140.12 Ce.upf
Th 232.04 Th.upf
Ag 107.87 Ag.upf
ATOMIC_POSITIONS angstrom
Ce 1.887 1.887 1.887
Ce 5.661 5.661 5.661
Th 0.000 0.000 0.000
Ag 3.774 3.774 3.774
CELL_PARAMETERS angstrom
0.000 3.774 3.774
3.774 0.000 3.774
3.774 3.774 0.000
```

***

two | Below is a relaxed Ce2ThAg crystal, with properties calculated at the PBE level. Values from VASP.

The structure in Quantum ESPRESSO input format:
```
&SYSTEM
  ibrav = 0, nat = 4, ntyp = 3
/
ATOMIC_SPECIES
Ce 140.12 Ce.upf
Th 232.04 Th.upf
Ag 107.87 Ag.upf
ATOMIC_POSITIONS angstrom
Ce 0.000 2.818 0.000
Ce 2.818 0.000 0.000
Th 0.000 0.000 1.686
Ag 2.818 2.818 1.686
CELL_PARAMETERS angstrom
5.636 0.000 0.000
0.000 5.636 0.000
0.000 0.000 3.373
```

***

The energy of each structure relative to the most stable one, in meV/atom, is as follows: one 151; two 0.